[1]
PmBRh4: optimized geometry, GGA-PBE.

Structure (POSCAR):
```
PmBRh4
1.0
5.077 0.000 0.000
0.000 5.077 0.000
0.000 0.000 8.322
Rh B Pm
8 2 2
Cartesian
2.539 1.244 5.750 Rh
1.295 0.000 1.589 Rh
3.833 2.539 2.572 Rh
1.244 2.539 2.572 Rh
0.000 1.295 6.733 Rh
3.783 0.000 1.589 Rh
2.539 3.833 5.750 Rh
0.000 3.783 6.733 Rh
0.000 0.000 0.000 B
2.539 2.539 4.161 B
0.000 0.000 4.161 Pm
2.539 2.539 0.000 Pm
```

The formation energy is -0.02 eV per atom. Its space group is P4_2/nmc.

[2]
CrBRu: optimized geometry, GGA-PBE.

Structure (POSCAR):
```
CrBRu
1.0
3.494 0.000 0.000
0.000 4.417 0.000
0.000 0.000 8.133
Ru Cr B
4 4 4
Cartesian
0.000 0.000 4.472 Ru
0.000 2.209 7.807 Ru
1.747 2.209 3.661 Ru
1.747 0.000 0.326 Ru
1.747 3.276 6.088 Cr
0.000 3.350 2.045 Cr
1.747 1.141 6.088 Cr
0.000 1.067 2.045 Cr
0.000 2.209 5.147 B
0.000 0.000 7.033 B
1.747 2.209 1.100 B
1.747 0.000 2.987 B
```

The formation energy is -0.11 eV per atom. Its space group is Pmmn.

[3]
LaReBr2: optimized geometry, GGA-PBE.

Structure (POSCAR):
```
LaReBr2
1.0
3.551 0.000 0.000
0.000 4.243 0.000
0.000 0.000 6.892
La Br Re
1 2 1
Cartesian
1.776 2.122 1.723 La
0.000 0.000 0.099 Br
0.000 0.000 3.347 Br
1.776 2.122 5.169 Re
```

Its space group is Pmmm. As for the uncorrected formation energy: 0.35 eV/atom.

[4]
Ba2Mg6AlAg: optimized geometry, GGA-PBE.

Structure (POSCAR):
```
Ba2Mg6AlAg
1.0
-6.447 -3.678 2.081
2.546 -6.175 -3.024
0.629 -6.077 4.042
Mg Ba Ag Al
6 2 1 1
Cartesian
-2.023 -10.110 1.168 Mg
-2.286 -7.561 -0.531 Mg
-0.985 -8.369 3.629 Mg
-3.762 -3.981 1.225 Mg
0.490 -11.949 1.873 Mg
-1.248 -5.820 1.931 Mg
-4.598 -7.540 2.627 Ba
1.327 -8.390 0.472 Ba
-1.950 -4.926 -0.471 Ag
0.000 0.000 0.000 Al
```

The formation energy is -0.07 eV per atom. Its space group is C2/m.